(1)
First-principles (PBE) data for crystalline Nd3Sn5Au6 at its relaxed geometry, as listed in OQMD via LeMat-Bulk.

abc: 4.592 13.599 10.445
angles: 90.00 90.00 90.00
Atoms (fractional coordinates):
Nd  0.250  0.065  0.244
Nd  0.250  0.435  0.244
Nd  0.250  0.750  0.245
Nd  0.750  0.250  0.755
Nd  0.750  0.565  0.756
Nd  0.750  0.935  0.756
Sn  0.250  0.089  0.877
Sn  0.250  0.411  0.877
Sn  0.250  0.610  0.524
Sn  0.250  0.750  0.775
Sn  0.250  0.890  0.524
Sn  0.750  0.110  0.476
Sn  0.750  0.250  0.225
Sn  0.750  0.390  0.476
Sn  0.750  0.589  0.123
Sn  0.750  0.911  0.123
Au  0.250  0.087  0.621
Au  0.250  0.250  0.042
Au  0.250  0.250  0.440
Au  0.250  0.413  0.621
Au  0.250  0.604  0.976
Au  0.250  0.896  0.976
Au  0.750  0.104  0.024
Au  0.750  0.396  0.024
Au  0.750  0.587  0.379
Au  0.750  0.750  0.560
Au  0.750  0.750  0.958
Au  0.750  0.913  0.379

As for the volume: 652.3 Å³ per cell. For the total energy, the calculation gives -4.467 eV/atom.

(2)
First-principles (PBE) data for crystalline LaNpRe at its relaxed geometry, as listed in OQMD via LeMat-Bulk.

abc: 6.832 6.832 6.832
angles: 90.00 90.00 90.00
Atoms (fractional coordinates):
La  0.000  0.000  0.000
La  0.000  0.500  0.500
La  0.500  0.000  0.500
La  0.500  0.500  0.000
Np  0.000  0.000  0.500
Np  0.000  0.500  0.000
Np  0.500  0.000  0.000
Np  0.500  0.500  0.500
Re  0.250  0.250  0.750
Re  0.250  0.750  0.250
Re  0.750  0.250  0.250
Re  0.750  0.750  0.750

The formation energy is 0.599 eV per atom. As for the volume: 318.9 Å³ per cell. For the total energy, the calculation gives -9.439 eV/atom. The calculation puts the energy above the most stable polymorph in this dataset at 0 meV per atom.

(3)
First-principles (PBE) data for crystalline CsGd2CuS4 at its relaxed geometry, as listed in OQMD via LeMat-Bulk.

abc: 7.369 7.369 13.915
angles: 90.00 90.00 148.21
Atoms (fractional coordinates):
Cs  0.106  0.894  0.750
Cs  0.894  0.106  0.250
Gd  0.366  0.634  0.561
Gd  0.366  0.634  0.939
Gd  0.634  0.366  0.061
Gd  0.634  0.366  0.439
Cu  0.167  0.833  0.250
Cu  0.833  0.167  0.750
S  0.000  0.000  0.000
S  0.000  0.000  0.500
S  0.255  0.745  0.107
S  0.255  0.745  0.393
S  0.419  0.581  0.750
S  0.581  0.419  0.250
S  0.745  0.255  0.607
S  0.745  0.255  0.893

As for the volume: 398.1 Å³ per cell. For the total energy, the calculation gives -5.439 eV/atom.

(4)
First-principles (PBE) data for crystalline NdPIrO at its relaxed geometry, as listed in OQMD via LeMat-Bulk.

abc: 6.011 6.011 4.453
angles: 90.00 90.00 90.00
Atoms (fractional coordinates):
Nd  0.250  0.750  0.000
Nd  0.750  0.250  0.000
P  0.250  0.250  0.156
P  0.750  0.750  0.844
Ir  0.250  0.250  0.662
Ir  0.750  0.750  0.338
O  0.250  0.750  0.500
O  0.750  0.250  0.500

As for the volume: 160.9 Å³ per cell. For the total energy, the calculation gives -6.695 eV/atom. The calculation puts the energy above the most stable polymorph in this dataset at 1221 meV per atom.

(5)
First-principles (PBE) data for crystalline ZnCu at its relaxed geometry, as listed in OQMD via LeMat-Bulk.

abc: 4.263 10.465 4.566
angles: 90.00 90.00 90.00
Atoms (fractional coordinates):
Zn  0.250  0.000  0.168
Zn  0.250  0.128  0.662
Zn  0.250  0.372  0.662
Zn  0.250  0.500  0.168
Zn  0.750  0.000  0.832
Zn  0.750  0.500  0.832
Zn  0.750  0.628  0.338
Zn  0.750  0.872  0.338
Cu  0.250  0.250  0.165
Cu  0.250  0.627  0.668
Cu  0.250  0.750  0.165
Cu  0.250  0.873  0.668
Cu  0.750  0.127  0.332
Cu  0.750  0.250  0.835
Cu  0.750  0.373  0.332
Cu  0.750  0.750  0.835

The formation energy is -0.064 eV per atom. As for the volume: 203.7 Å³ per cell. For the total energy, the calculation gives -2.555 eV/atom.

(6)
First-principles (PBE) data for crystalline SnBiMo at its relaxed geometry, as listed in OQMD via LeMat-Bulk.

abc: 6.782 6.782 6.782
angles: 90.00 90.00 90.00
Atoms (fractional coordinates):
Sn  0.000  0.000  0.000
Sn  0.000  0.500  0.500
Sn  0.500  0.000  0.500
Sn  0.500  0.500  0.000
Bi  0.000  0.000  0.500
Bi  0.000  0.500  0.000
Bi  0.500  0.000  0.000
Bi  0.500  0.500  0.500
Mo  0.250  0.250  0.750
Mo  0.250  0.750  0.250
Mo  0.750  0.250  0.250
Mo  0.750  0.750  0.750

As for the volume: 312.0 Å³ per cell. For the total energy, the calculation gives -5.689 eV/atom. The calculation puts the energy above the most stable polymorph in this dataset at 0 meV per atom.

Please write out number 5 again, unchanged.
First-principles (PBE) data for crystalline ZnCu at its relaxed geometry, as listed in OQMD via LeMat-Bulk.

abc: 4.263 10.465 4.566
angles: 90.00 90.00 90.00
Atoms (fractional coordinates):
Zn  0.250  0.000  0.168
Zn  0.250  0.128  0.662
Zn  0.250  0.372  0.662
Zn  0.250  0.500  0.168
Zn  0.750  0.000  0.832
Zn  0.750  0.500  0.832
Zn  0.750  0.628  0.338
Zn  0.750  0.872  0.338
Cu  0.250  0.250  0.165
Cu  0.250  0.627  0.668
Cu  0.250  0.750  0.165
Cu  0.250  0.873  0.668
Cu  0.750  0.127  0.332
Cu  0.750  0.250  0.835
Cu  0.750  0.373  0.332
Cu  0.750  0.750  0.835

The formation energy is -0.064 eV per atom. As for the volume: 203.7 Å³ per cell. For the total energy, the calculation gives -2.555 eV/atom.

Q: Which of these has the highest volume?
A: Nd3Sn5Au6

Q: Among the records above, which one has the lowest volume?
A: NdPIrO

Q: Which of these has the lowest volume?
A: NdPIrO